# PBE Li2NbCo, optimized geometry
data_Li2NbCo
_symmetry_space_group_name_H-M 'F -4 3 m'
_symmetry_Int_Tables_number 216
_symmetry_space_group_name_Hall 'F -4 2 3'
_cell_length_a 5.921
_cell_length_b 5.921
_cell_length_c 5.921
_cell_angle_alpha 90.00
_cell_angle_beta 90.00
_cell_angle_gamma 90.00
loop_
_atom_site_label
_atom_site_type_symbol
_atom_site_fract_x
_atom_site_fract_y
_atom_site_fract_z
_atom_site_occupancy
Li1 Li 0.000 0.000 0.000 1
Li2 Li 0.250 0.250 0.250 1
Nb1 Nb 0.000 0.000 0.500 1
Co1 Co 0.250 0.250 0.750 1
# **Total DFT energy (no corrections)**: -19.92 eV per formula unit